# CaMn4Co2O12 (GGA+U, relaxed)
# Calculated density = 4.002 g/cm³
# Volume = 12.4 A^3/atom
# VASP energy = -6.75 eV per atom
# Total magnetic moment = 16.00 μB/f.u.
data_CaMn4Co2O12
_chemical_formula_sum 'Ca2 Mn8 Co4 O24'
_cell_length_a 8.8412
_cell_length_b 5.0219
_cell_length_c 10.8021
_cell_angle_alpha 90.00
_cell_angle_beta 99.74
_cell_angle_gamma 90.00
_space_group_name_H-M_alt 'C 1 2 1'
_space_group_IT_number 5
loop_
_space_group_symop_operation_xyz
'x,y,z'
'-x,y,-z'
'x+1/2,y+1/2,z'
'-x+1/2,y+1/2,-z'
loop_
_atom_site_label
_atom_site_fract_x
_atom_site_fract_y
_atom_site_fract_z
Ca1 0.0000 0.0000 0.0000
Mn1 0.0385 0.6558 0.2633
Mn2 0.1268 0.1515 0.7372
Co1 0.2066 0.1534 0.2675
O1 0.0212 0.3155 0.1677
O2 0.0442 0.9751 0.3565
O3 0.1075 0.4888 0.6497
O4 0.1328 0.8348 0.8416
O5 0.1845 0.8267 0.1685
O6 0.2254 0.4889 0.3503